Material: LiCrS3
Method: DFT, GGA-PBEsol
State: optimized geometry

Cell: 4.5045 4.5045 4.5045 Å, 90.00 90.00 90.00°
Last column: nearest neighbours and their distance in Å.
Sites, in units of the cell vectors:
1 Cr 0.0000 0.0000 0.0000  6 S 2.25
2 S 0.0000 0.5000 0.0000  2 Cr 2.25
3 S 0.0000 0.0000 0.5000  2 Cr 2.25
4 S 0.5000 0.0000 0.0000  2 Cr 2.25
5 Li 0.5000 0.5000 0.5000  12 S 3.19

Calculated values
- ΔE_f (raw) (eV per atom) = -0.27
- DFT total energy (eV/cell) = -26.712
- density of states at the Fermi level (states/eV/cell) = 4.40